No. 1
This record from OQMD describes an optimized crystal structure of HfCuMo2. The functional is PBE.

It has space group F-43m (No. 216), with a = 6.369 Å, b = 6.369 Å, c = 6.369 Å, α = 90.00°, β = 90.00° and γ = 90.00°. The inequivalent atoms are Hf at (0.000, 0.000, 0.000), Cu at (0.250, 0.250, 0.750), Mo at (0.000, 0.000, 0.500) and Mo at (0.250, 0.250, 0.250).

Its total energy is -8.761 eV per atom. Its total magnetization is 0.042 μB per atom.

---

No. 2
This record from OQMD describes an optimized crystal structure of HfCu2Mo. The functional is PBE.

It has space group F-43m (No. 216), with a = 6.297 Å, b = 6.297 Å, c = 6.297 Å, α = 90.00°, β = 90.00° and γ = 90.00°. The inequivalent atoms are Hf at (0.000, 0.000, 0.000), Cu at (0.000, 0.000, 0.500), Cu at (0.250, 0.250, 0.250) and Mo at (0.250, 0.250, 0.750).

Its total energy is -6.681 eV per atom. Its total magnetization is 0.481 μB per atom.